(1)
DFT (PBE-GGA) results for a relaxed structure of Sm6P5Cl.

```
data_Sm6P5Cl
_symmetry_space_group_name_H-M 'C 1 2/m 1'
_symmetry_Int_Tables_number 12
_symmetry_space_group_name_Hall '-C 2y'
_cell_length_a 7.122
_cell_length_b 12.314
_cell_length_c 7.097
_cell_angle_alpha 90.00
_cell_angle_beta 109.52
_cell_angle_gamma 90.00
loop_
_atom_site_label
_atom_site_type_symbol
_atom_site_fract_x
_atom_site_fract_y
_atom_site_fract_z
_atom_site_occupancy
Sm1 Sm 0.238 0.000 0.259 1
Sm2 Sm 0.240 0.174 0.742 1
P1 P 0.000 0.000 0.500 1
P2 P 0.000 0.167 0.000 1
P3 P 0.000 0.337 0.500 1
Cl1 Cl 0.000 0.500 0.000 1
```

## Properties
Raw total energy (eV per atom): -6.4104
ΔE_f (raw) (eV per formula unit): -19.71
Total moment (μB/f.u.): 0.0

***

(2)
DFT (PBE-GGA) results for a relaxed structure of Sm4PCl5.

```
data_Sm4PCl5
_symmetry_space_group_name_H-M 'C 1 2/m 1'
_symmetry_Int_Tables_number 12
_symmetry_space_group_name_Hall '-C 2y'
_cell_length_a 17.752
_cell_length_b 4.004
_cell_length_c 8.154
_cell_angle_alpha 90.00
_cell_angle_beta 103.92
_cell_angle_gamma 90.00
loop_
_atom_site_label
_atom_site_type_symbol
_atom_site_fract_x
_atom_site_fract_y
_atom_site_fract_z
_atom_site_occupancy
Sm1 Sm 0.000 0.000 0.227 1
Sm2 Sm 0.154 0.500 0.089 1
P1 P 0.000 0.500 0.000 1
Cl1 Cl 0.000 0.500 0.500 1
Cl2 Cl 0.166 0.000 0.334 1
Cl3 Cl 0.172 0.000 0.848 1
```

## Properties
Raw total energy (eV per atom): -5.2457
ΔE_f (raw) (eV per formula unit): -18.94
Total moment (μB/f.u.): 0.0

***

(3)
DFT (PBE-GGA) results for a relaxed structure of Sm4P2Cl3.

```
data_Sm4P2Cl3
_symmetry_space_group_name_H-M 'C 1 2/m 1'
_symmetry_Int_Tables_number 12
_symmetry_space_group_name_Hall '-C 2y'
_cell_length_a 7.039
_cell_length_b 4.064
_cell_length_c 16.981
_cell_angle_alpha 90.00
_cell_angle_beta 90.05
_cell_angle_gamma 90.00
loop_
_atom_site_label
_atom_site_type_symbol
_atom_site_fract_x
_atom_site_fract_y
_atom_site_fract_z
_atom_site_occupancy
Sm1 Sm 0.001 0.000 0.295 1
Sm2 Sm 0.166 0.500 0.884 1
P1 P 0.167 0.500 0.203 1
Cl1 Cl 0.000 0.000 0.000 1
Cl2 Cl 0.166 0.500 0.606 1
```

## Properties
Raw total energy (eV per atom): -5.7085
ΔE_f (raw) (eV per formula unit): -16.14
Total moment (μB/f.u.): 0.0

***

(4)
DFT (PBE-GGA) results for a relaxed structure of Sm8P6Cl.

```
data_Sm8P6Cl
_symmetry_space_group_name_H-M 'P -3'
_symmetry_Int_Tables_number 147
_symmetry_space_group_name_Hall '-P 3'
_cell_length_a 10.8436
_cell_length_b 10.8436
_cell_length_c 4.2123
_cell_angle_alpha 90.00
_cell_angle_beta 90.00
_cell_angle_gamma 120.00
loop_
_atom_site_label
_atom_site_type_symbol
_atom_site_fract_x
_atom_site_fract_y
_atom_site_fract_z
_atom_site_occupancy
Sm1 Sm 0.0363 0.3681 0.2550 1
Sm2 Sm 0.3333 0.6667 0.7474 1
P1 P 0.1419 0.6659 0.2459 1
Cl1 Cl 0.0000 0.0000 0.5000 1
```

## Properties
Raw total energy (eV per atom): -6.0898
ΔE_f (raw) (eV per formula unit): -19.29
Total moment (μB/f.u.): 0.0

***

(5)
DFT (PBE-GGA) results for a relaxed structure of Sm2PCl2.

```
data_Sm2PCl2
_symmetry_space_group_name_H-M 'R -3 m'
_symmetry_Int_Tables_number 166
_symmetry_space_group_name_Hall '-R 3 2"'
_cell_length_a 4.0519
_cell_length_b 4.0519
_cell_length_c 30.3865
_cell_angle_alpha 90.00
_cell_angle_beta 90.00
_cell_angle_gamma 120.00
loop_
_atom_site_label
_atom_site_type_symbol
_atom_site_fract_x
_atom_site_fract_y
_atom_site_fract_z
_atom_site_occupancy
Sm1 Sm 0.0000 0.0000 0.1145 1
P1 P 0.0000 0.0000 0.5000 1
Cl1 Cl 0.0000 0.0000 0.2737 1
```

## Properties
Raw total energy (eV per atom): -5.6687
ΔE_f (raw) (eV per formula unit): -9.80
Total moment (μB/f.u.): 0.0

***

(6)
DFT (PBE-GGA) results for a relaxed structure of TbSmPCl.

```
data_TbSmPCl
_symmetry_space_group_name_H-M 'R 3 m'
_symmetry_Int_Tables_number 160
_symmetry_space_group_name_Hall 'R 3 -2"'
_cell_length_a 3.9817
_cell_length_b 3.9817
_cell_length_c 21.2128
_cell_angle_alpha 90.00
_cell_angle_beta 90.00
_cell_angle_gamma 120.00
loop_
_atom_site_label
_atom_site_type_symbol
_atom_site_fract_x
_atom_site_fract_y
_atom_site_fract_z
_atom_site_occupancy
Tb1 Tb 0.0000 0.0000 0.0000 1
Sm1 Sm 0.0000 0.0000 0.1929 1
P1 P 0.0000 0.0000 0.6002 1
Cl1 Cl 0.0000 0.0000 0.4266 1
```

## Properties
Raw total energy (eV per atom): -5.7114
ΔE_f (raw) (eV per formula unit): -6.24
Total moment (μB/f.u.): 0.0

***

(7)
DFT (PBE-GGA) results for a relaxed structure of Sm4Te2PCl.

```
data_Sm4Te2PCl
_symmetry_space_group_name_H-M 'P 1 2/m 1'
_symmetry_Int_Tables_number 10
_symmetry_space_group_name_Hall '-P 2y'
_cell_length_a 7.383
_cell_length_b 4.196
_cell_length_c 7.504
_cell_angle_alpha 90.00
_cell_angle_beta 108.51
_cell_angle_gamma 90.00
loop_
_atom_site_label
_atom_site_type_symbol
_atom_site_fract_x
_atom_site_fract_y
_atom_site_fract_z
_atom_site_occupancy
Sm1 Sm 0.221 0.000 0.210 1
Sm2 Sm 0.240 0.500 0.782 1
Te1 Te 0.000 0.000 0.500 1
Te2 Te 0.500 0.500 0.500 1
P1 P 0.000 0.500 0.000 1
Cl1 Cl 0.500 0.000 0.000 1
```

## Properties
Raw total energy (eV per atom): -5.5220
ΔE_f (raw) (eV per formula unit): -11.76
Total moment (μB/f.u.): 0.0

***

(8)
DFT (PBE-GGA) results for a relaxed structure of Sm8Te4P3Cl.

```
data_Sm8Te4P3Cl
_symmetry_space_group_name_H-M 'R -3 m'
_symmetry_Int_Tables_number 166
_symmetry_space_group_name_Hall '-R 3 2"'
_cell_length_a 8.4195
_cell_length_b 8.4195
_cell_length_c 21.5577
_cell_angle_alpha 90.00
_cell_angle_beta 90.00
_cell_angle_gamma 120.00
loop_
_atom_site_label
_atom_site_type_symbol
_atom_site_fract_x
_atom_site_fract_y
_atom_site_fract_z
_atom_site_occupancy
Sm1 Sm 0.0000 0.0000 0.2367 1
Sm2 Sm 0.0146 0.5073 0.7624 1
Te1 Te 0.0000 0.0000 0.0000 1
Te2 Te 0.0000 0.5000 0.0000 1
P1 P 0.0000 0.5000 0.5000 1
Cl1 Cl 0.0000 0.0000 0.5000 1
```

## Properties
Raw total energy (eV per atom): -5.8100
ΔE_f (raw) (eV per formula unit): -24.56
Total moment (μB/f.u.): 0.0

***

(9)
DFT (PBE-GGA) results for a relaxed structure of Sm3TePCl.

```
data_Sm3TePCl
_symmetry_space_group_name_H-M 'P 1 21/m 1'
_symmetry_Int_Tables_number 11
_symmetry_space_group_name_Hall '-P 2yb'
_cell_length_a 8.759
_cell_length_b 4.140
_cell_length_c 9.719
_cell_angle_alpha 90.00
_cell_angle_beta 95.39
_cell_angle_gamma 90.00
loop_
_atom_site_label
_atom_site_type_symbol
_atom_site_fract_x
_atom_site_fract_y
_atom_site_fract_z
_atom_site_occupancy
Sm1 Sm 0.089 0.250 0.352 1
Sm2 Sm 0.165 0.250 0.935 1
Sm3 Sm 0.361 0.750 0.637 1
Te1 Te 0.359 0.750 0.311 1
P1 P 0.137 0.250 0.645 1
Cl1 Cl 0.374 0.750 0.925 1
```

## Properties
Raw total energy (eV per atom): -5.5281
ΔE_f (raw) (eV per formula unit): -8.61
Total moment (μB/f.u.): 0.5

***

(10)
DFT (PBE-GGA) results for a relaxed structure of Sn2P2Cl.

```
data_Sn2P2Cl
_symmetry_space_group_name_H-M 'I 4/m m m'
_symmetry_Int_Tables_number 139
_symmetry_space_group_name_Hall '-I 4 2'
_cell_length_a 3.976
_cell_length_b 3.976
_cell_length_c 15.214
_cell_angle_alpha 90.00
_cell_angle_beta 90.00
_cell_angle_gamma 90.00
loop_
_atom_site_label
_atom_site_type_symbol
_atom_site_fract_x
_atom_site_fract_y
_atom_site_fract_z
_atom_site_occupancy
Sn1 Sn 0.000 0.000 0.117 1
P1 P 0.000 0.500 0.250 1
Cl1 Cl 0.000 0.000 0.500 1
```

## Properties
Raw total energy (eV per atom): -4.2150
Polymorph energy (0 for the lowest one) (meV/atom): 108
ΔE_f (raw) (eV per formula unit): -0.40
Total moment (μB/f.u.): 0.0

***

(11)
DFT (PBE-GGA) results for a relaxed structure of SnP3Cl.

```
data_SnP3Cl
_symmetry_space_group_name_H-M 'P m -3 m'
_symmetry_Int_Tables_number 221
_symmetry_space_group_name_Hall '-P 4 2 3'
_cell_length_a 4.708
_cell_length_b 4.708
_cell_length_c 4.708
_cell_angle_alpha 90.00
_cell_angle_beta 90.00
_cell_angle_gamma 90.00
loop_
_atom_site_label
_atom_site_type_symbol
_atom_site_fract_x
_atom_site_fract_y
_atom_site_fract_z
_atom_site_occupancy
Sn1 Sn 0.000 0.000 0.000 1
P1 P 0.000 0.500 0.500 1
Cl1 Cl 0.500 0.500 0.500 1
```

## Properties
Raw total energy (eV per atom): -3.2858
Polymorph energy (0 for the lowest one) (meV/atom): 0
ΔE_f (raw) (eV per formula unit): 5.65
Total moment (μB/f.u.): 0.0

***

(12)
DFT (PBE-GGA) results for a relaxed structure of SnPCl.

```
data_SnPCl
_symmetry_space_group_name_H-M 'I m a 2'
_symmetry_Int_Tables_number 46
_symmetry_space_group_name_Hall 'I 2 -2a'
_cell_length_a 10.482
_cell_length_b 12.087
_cell_length_c 7.017
_cell_angle_alpha 90.00
_cell_angle_beta 90.00
_cell_angle_gamma 90.00
loop_
_atom_site_label
_atom_site_type_symbol
_atom_site_fract_x
_atom_site_fract_y
_atom_site_fract_z
_atom_site_occupancy
Sn1 Sn 0.038 0.158 0.000 1
Sn2 Sn 0.250 0.534 0.916 1
P1 P 0.000 0.000 0.307 1
P2 P 0.037 0.584 0.113 1
Cl1 Cl 0.250 0.025 0.951 1
Cl2 Cl 0.250 0.208 0.521 1
Cl3 Cl 0.250 0.723 0.764 1
```

## Properties
Raw total energy (eV per atom): -3.9899
ΔE_f (raw) (eV per formula unit): -0.71
Total moment (μB/f.u.): 0.0